Density functional theory data (PBE) for an optimized crystal structure of TbTmP2.

```
TbTmP2
1.0
3.9471 0.0000 0.0000
1.9736 3.4183 0.0000
1.9736 1.1394 6.7869
Tb Tm P
1 1 2
Direct
0.4976 0.4976 0.5071
0.6690 0.6690 0.9930
0.0807 0.0807 0.7580
0.2527 0.2527 0.2419
```

## Properties
SG = No. 160
Energy = -6.4264 eV/atom

=====

Density functional theory data (PBE) for an optimized crystal structure of LiLuPb.

```
LiLuPb
1.0
-3.4242 0.9448 0.2262
-0.3818 -2.0708 2.8696
3.3423 4.9720 1.8253
Pb Lu Li
1 1 1
Direct
0.9295 0.9295 0.8591
0.6177 0.6177 0.2354
0.3028 0.3028 0.6055
```

## Properties
SG = No. 107
Energy = -3.5436 eV/atom

=====

Density functional theory data (PBE) for an optimized crystal structure of TaCdFe2.

```
TaCdFe2
1.0
-4.3070 -0.3403 -1.0186
-1.5634 -3.7383 -1.8124
-2.6345 -2.6793 2.3631
Cd Fe Ta
1 2 1
Direct
0.5000 0.5000 0.5000
0.0000 0.0000 0.0000
0.7500 0.7500 0.7500
0.2500 0.2500 0.2500
```

## Properties
SG = No. 216
Energy = -7.0013 eV/atom

=====

Density functional theory data (PBE) for an optimized crystal structure of LiZn4Au.

```
LiZn4Au
1.0
-2.8519 0.2513 -3.6715
2.8334 -3.9610 -2.4327
-3.0239 -7.0619 1.8852
Li Zn Au
2 8 2
Direct
0.2500 0.7971 0.9058
0.7500 0.2029 0.0942
0.8255 0.2881 0.4226
0.7804 0.1073 0.7784
0.3255 0.2107 0.5774
0.2804 0.3858 0.2216
0.1745 0.7119 0.5774
0.6745 0.7893 0.4226
0.2196 0.8927 0.2216
0.7196 0.6142 0.7784
0.2500 0.3017 0.8966
0.7500 0.6983 0.1034
```

## Properties
SG = No. 15
Energy = -1.9018 eV/atom

=====

Density functional theory data (PBE) for an optimized crystal structure of ScBO3.

```
ScBO3
1.0
-2.9529 -2.9577 1.0134
1.3000 -1.0803 3.9544
-2.6901 2.3641 2.3810
Sc B O
1 1 3
Direct
0.4282 0.4282 0.4282
0.1554 0.1554 0.1554
0.8949 0.3233 0.3233
0.3233 0.8949 0.3233
0.3233 0.3233 0.8949
```

## Properties
SG = No. 160
Energy relative to the elements, uncorrected = -62.73 kcal/mol of atoms

=====

Density functional theory data (PBE) for an optimized crystal structure of Nb2AlAs.

```
Nb2AlAs
1.0
3.8961 0.0000 0.0000
0.0000 3.8961 0.0000
1.9480 1.9480 9.6660
Nb As Al
4 2 2
Direct
0.6187 0.1250 0.2500
0.1313 0.6250 0.2500
0.3750 0.3813 0.7500
0.8750 0.8687 0.7500
0.0000 0.0000 0.0000
0.7500 0.2500 0.5000
0.5000 0.5000 0.0000
0.2500 0.7500 0.5000
```

## Properties
SG = No. 122
Energy = -7.0850 eV/atom

=====

Density functional theory data (PBE) for an optimized crystal structure of BiAs2Os.

```
BiAs2Os
1.0
6.2189 0.0000 0.0000
0.0000 6.2189 0.0000
3.1094 3.1094 5.6290
As Os Bi
4 2 2
Direct
0.5530 0.1250 0.2500
0.1970 0.6250 0.2500
0.3750 0.4470 0.7500
0.8750 0.8030 0.7500
0.5000 0.5000 0.0000
0.2500 0.7500 0.5000
0.0000 0.0000 0.0000
0.7500 0.2500 0.5000
```

## Properties
SG = No. 122
Energy = -5.7472 eV/atom

=====

Density functional theory data (PBE) for an optimized crystal structure of ZnSe2Br.

```
ZnSe2Br
1.0
-2.5360 -3.5584 0.9743
0.1079 -1.1267 -3.8341
6.4777 -4.2272 1.4221
Br Se Zn
1 2 1
Direct
0.5000 0.6248 0.6191
0.0000 0.1251 0.2719
0.5000 0.1251 0.1466
0.0000 0.6250 0.4624
```

## Properties
SG = No. 25
Energy relative to the elements, uncorrected = -6.72 kcal/mol of atoms